Record 1
Material: NpSc
Method: DFT, PBE
State: relaxed

Computed properties:
For the formation energy, the calculation gives 0.6763 eV per atom. The energy relative to the lowest polymorph listed for this composition is 401 meV/atom. The value obtained for the total energy is -8.87 eV per atom.

extended XYZ file:
```
4
Lattice="-2.5496 -4.1863 0.3842 4.7599 -0.1242 -1.2253 1.1281 -0.2823 4.4106" Properties=species:S:1:pos:R:3 pbc="T T T"
Sc 0.1689 -2.9029 0.9503
Sc 3.1694 -1.6900 2.6191
Np 0.0000 0.0000 0.0000
Np 0.5640 -0.1411 2.2053
```


Record 2
Material: SmNpSc
Method: DFT, PBE
State: relaxed

Computed properties:
For the formation energy, the calculation gives 1.1086 eV per atom. The energy relative to the lowest polymorph listed for this composition is 0 meV/atom. The value obtained for the total energy is -6.83 eV per atom.

extended XYZ file:
```
3
Lattice="3.0005 -3.5816 1.8018 -1.8425 -3.4987 3.0728 -0.4992 -4.7210 -1.5940" Properties=species:S:1:pos:R:3 pbc="T T T"
Sc 0.0000 0.0000 0.0000
Np 0.1647 -2.9503 0.8202
Sm 0.4941 -8.8510 2.4605
```


Record 3
Material: SrNpSc
Method: DFT, PBE
State: relaxed

Computed properties:
The energy relative to the lowest polymorph listed for this composition is 0 meV/atom. The value obtained for the total energy is -5.65 eV per atom.

extended XYZ file:
```
3
Lattice="2.4721 -4.7985 0.9640 -2.2131 -4.6509 -1.8808 2.4090 -2.7171 -4.1085" Properties=species:S:1:pos:R:3 pbc="T T T"
Sr 2.0010 -9.1249 -3.7691
Sc 0.0000 0.0000 0.0000
Np 0.6670 -3.0416 -1.2564
```


Record 4
Material: NpScTa
Method: DFT, PBE
State: relaxed

Computed properties:
For the formation energy, the calculation gives 1.3150 eV per atom. The value obtained for the total energy is -9.00 eV per atom.

extended XYZ file:
```
3
Lattice="-2.0641 -3.9874 -0.8668 -4.0232 -0.0673 -2.1727 -0.2550 -1.5572 -4.2920" Properties=species:S:1:pos:R:3 pbc="T T T"
Sc 0.0000 0.0000 0.0000
Np -1.5856 -1.4030 -1.8329
Ta -4.7567 -4.2089 -5.4986
```


Record 5
Material: ThNpSc
Method: DFT, PBE
State: relaxed

Computed properties:
For the formation energy, the calculation gives 1.0657 eV per atom. The value obtained for the total energy is -7.77 eV per atom.

extended XYZ file:
```
3
Lattice="0.6141 1.8505 4.5515 -0.0990 4.8986 0.7151 -3.8217 2.0803 2.3632" Properties=species:S:1:pos:R:3 pbc="T T T"
Th -2.4800 6.6221 5.7224
Sc 0.0000 0.0000 0.0000
Np -0.8267 2.2074 1.9075
```


Record 6
Material: NpScTl
Method: DFT, PBE
State: relaxed

Computed properties:
The energy relative to the lowest polymorph listed for this composition is 0 meV/atom. The value obtained for the total energy is -6.59 eV per atom.

extended XYZ file:
```
3
Lattice="-1.1063 1.0726 4.8303 -3.8731 -2.3347 2.2922 0.8944 -3.4280 3.6270" Properties=species:S:1:pos:R:3 pbc="T T T"
Tl 0.0000 0.0000 0.0000
Np -1.0213 -1.1725 2.6874
Sc -3.0638 -3.5176 8.0621
```


Record 7
Material: ZrNpSc
Method: DFT, PBE
State: relaxed

Computed properties:
For the formation energy, the calculation gives 1.1169 eV per atom. The value obtained for the total energy is -8.10 eV per atom.

extended XYZ file:
```
3
Lattice="0.0000 3.4429 3.4429 3.4429 0.0000 3.4429 3.4429 3.4429 0.0000" Properties=species:S:1:pos:R:3 pbc="T T T"
Np 1.7215 1.7215 1.7215
Sc 0.0000 0.0000 0.0000
Zr 5.1644 5.1644 5.1644
```


Record 8
Material: NpSe2
Method: DFT, PBE
State: relaxed

Computed properties:
The value obtained for the total energy is -7.52 eV per atom.

extended XYZ file:
```
12
Lattice="-3.7500 -0.0193 -1.0866 1.0031 -1.2097 3.5741 -2.8501 25.3646 9.3852" Properties=species:S:1:pos:R:3 pbc="T T T"
Np -2.1371 19.0195 7.0374
Se -0.7610 0.7868 2.6124
Np 0.0000 0.0000 0.0000
Se -4.1231 17.0041 6.9126
Se -3.2516 22.9519 10.8138
Se -3.0583 7.5283 3.4065
Se -1.2454 11.0832 4.1009
Np -0.7130 6.3451 2.3478
Np -2.0063 11.8694 6.7131
Se -4.4823 20.2015 8.0957
Se -1.6047 14.2814 5.2843
Se -2.6990 4.3309 2.2234
```


Record 9
Material: NpSe2
Method: DFT, PBE
State: relaxed

Computed properties:
The value obtained for the total energy is -7.51 eV per atom.

extended XYZ file:
```
12
Lattice="-2.6155 -0.8702 -2.7735 1.7354 -2.8642 2.0187 -27.0631 1.3016 25.1130" Properties=species:S:1:pos:R:3 pbc="T T T"
Np -16.6214 -2.0703 14.2352
Se -15.6488 0.0687 12.6469
Se -1.0953 -3.0402 1.3191
Np -2.6381 -0.7802 2.0650
Se -27.2711 -1.1884 22.6761
Se -9.3581 -0.8267 9.7421
Se -3.6085 -2.9193 3.6511
Se -24.7579 -1.3093 20.3441
Se -18.1619 0.1895 14.9790
Np -24.8483 0.2859 22.6850
Np -11.7786 -2.3011 9.7311
Se -11.8712 -0.7058 12.0743
```


Record 10
Material: NpSe2
Method: DFT, PBE
State: relaxed

Computed properties:
The value obtained for the total energy is -7.07 eV per atom.

extended XYZ file:
```
6
Lattice="-5.7471 2.8337 5.9713 1.5651 7.3986 4.4190 -4.8017 7.1504 -1.5909" Properties=species:S:1:pos:R:3 pbc="T T T"
Se -6.2425 7.9354 6.2854
Se -3.3689 6.5185 3.2998
Se -5.7698 10.0937 2.5043
Np -4.4919 8.6913 4.3997
Se -2.5864 10.2178 5.5093
Np -2.2459 4.3457 2.1998
```


Record 11
Material: NpSe2
Method: DFT, PBE
State: relaxed

Computed properties:
The value obtained for the total energy is -7.51 eV per atom.

extended XYZ file:
```
3
Lattice="1.9250 1.1114 6.6524 -1.9250 1.1114 6.6524 0.0000 -2.2228 6.6524" Properties=species:S:1:pos:R:3 pbc="T T T"
Se 0.0000 0.0000 4.9430
Np 0.0000 0.0000 13.3189
Se 0.0000 0.0000 8.3923
```


Record 12
Material: Np3Se5
Method: DFT, PBE
State: relaxed

Computed properties:
The value obtained for the total energy is -8.20 eV per atom.

extended XYZ file:
```
32
Lattice="12.1011 0.0000 0.0000 0.0000 8.2429 0.0000 0.0000 0.0000 7.6910" Properties=species:S:1:pos:R:3 pbc="T T T"
Np 6.1558 2.0607 7.0868
Se 0.0097 6.1822 0.2741
Se 12.0914 2.0607 7.4168
Np 8.2249 0.0179 3.6759
Se 7.2149 7.8403 6.3846
Np 3.8762 8.2251 4.0151
Se 3.7797 6.1822 6.3777
Se 2.6470 6.1822 2.2947
Se 1.1643 4.5241 5.1519
Np 0.1052 2.0607 4.4497
Se 1.1643 7.8403 5.1519
Np 5.9454 6.1822 0.6042
Np 9.9268 4.1393 7.5213
Se 3.4035 2.0607 6.1402
Se 7.2149 4.5241 6.3846
Np 9.9268 8.2251 7.5213
Se 10.9368 0.4026 2.5391
Se 6.0603 6.1822 3.5713
Np 11.9959 6.1822 3.2413
Np 2.1744 4.1036 0.1696
Se 4.8862 3.7188 1.3064
Se 10.9368 3.7188 2.5391
Se 2.2708 2.0607 2.5322
Se 9.8303 6.1822 5.1588
Se 6.0408 2.0607 4.1196
Np 2.1744 0.0179 0.1696
Se 8.6976 6.1822 1.5507
Np 3.8762 4.1393 4.0151
Np 8.2249 4.1036 3.6759
Se 8.3214 2.0607 1.3133
Se 9.4541 2.0607 5.3962
Se 4.8862 0.4026 1.3064
```


Record 13
Material: NpSe2
Method: DFT, PBE
State: relaxed

Computed properties:
The value obtained for the total energy is -7.67 eV per atom.

extended XYZ file:
```
12
Lattice="-3.7130 0.4868 5.8534 4.9954 -0.7484 6.6080 4.4246 6.5394 2.6192" Properties=species:S:1:pos:R:3 pbc="T T T"
Se 1.1354 5.9979 6.5242
Se 1.3945 2.3840 8.5067
Np 1.6471 3.3062 5.8507
Se 6.7697 3.5166 9.8066
Se 4.3125 3.8939 6.5739
Se 3.6200 5.6873 9.8762
Np 4.0598 2.9716 9.2299
Np 6.3255 6.2189 10.4903
Se 4.5715 0.2799 8.5564
Np -0.6185 0.0590 4.5903
Se 2.0870 0.5905 5.2044
Se -1.0628 2.7612 5.2740
```


Record 14
Material: Np2Sn2Se5
Method: DFT, PBE
State: relaxed

Computed properties:
The value obtained for the total energy is -6.45 eV per atom.

extended XYZ file:
```
9
Lattice="4.2208 0.0000 0.0000 -2.1104 3.6554 0.0000 0.0000 0.0000 16.8927" Properties=species:S:1:pos:R:3 pbc="T T T"
Se 0.0000 0.0000 0.0000
Np 0.0000 0.0000 11.4898
Np 0.0000 0.0000 5.4030
Se 2.1104 1.2185 3.6727
Sn 2.1104 1.2185 15.0921
Se 0.0000 2.4369 13.2200
Sn 0.0000 2.4369 1.8007
Se 2.1104 1.2185 10.0884
Se 0.0000 2.4369 6.8043
```


Record 15
Material: Np2TeSe2
Method: DFT, PBE
State: relaxed

Computed properties:
The value obtained for the total energy is -8.12 eV per atom.

extended XYZ file:
```
5
Lattice="-6.5663 -3.6182 7.2708 -3.8543 -6.8103 6.9164 -2.9317 -3.5322 9.3809" Properties=species:S:1:pos:R:3 pbc="T T T"
Np -5.2423 -5.4812 9.2532
Te -10.4790 -10.9564 18.4964
Se -0.0527 -0.0551 0.0930
Se -3.1206 -3.2628 5.5082
Np -8.1985 -8.5721 14.4712
```


Record 16
Material: NpTeSe
Method: DFT, PBE
State: relaxed

Computed properties:
The value obtained for the total energy is -7.30 eV per atom.

extended XYZ file:
```
12
Lattice="7.3151 0.0000 0.0000 -2.5122 8.1522 0.0000 -0.4702 -4.6069 7.1661" Properties=species:S:1:pos:R:3 pbc="T T T"
Se 0.6216 2.3982 2.6520
Te 0.1939 0.0334 6.1072
Np 2.8401 0.8679 1.8575
Se 1.8844 -1.6474 2.6654
Np 2.7795 -1.3840 5.3167
Np 1.4926 2.6774 5.3086
Te 5.3916 -0.5967 1.0439
Te 4.1388 3.5120 1.0589
Te -1.0589 4.1421 6.1222
Se 2.4483 5.1927 4.5008
Se 3.7110 1.1471 4.5141
Np 1.5532 4.9293 1.8494
```


Record 17
Material: Np2Tl2Se5
Method: DFT, PBE
State: relaxed

Computed properties:
The value obtained for the total energy is -6.20 eV per atom.

extended XYZ file:
```
18
Lattice="8.1400 -3.9332 0.0000 8.1400 3.9332 0.0000 0.0000 0.0000 7.8604" Properties=species:S:1:pos:R:3 pbc="T T T"
Se 9.9630 -2.7781 2.7803
Se 6.3170 -2.7781 2.7803
Np 8.1400 -1.2461 1.2465
Se 6.3170 2.7781 5.0801
Se 8.1400 0.0000 3.9302
Tl 11.3970 0.0000 3.9302
Tl 13.0231 0.0000 0.0000
Se 6.3170 1.1551 1.1499
Se 9.9631 -1.1551 6.7105
Np 8.1400 2.6871 2.6837
Np 8.1400 -2.6871 5.1768
Se 9.9631 1.1551 1.1499
Se 6.3170 -1.1551 6.7105
Np 8.1400 1.2461 6.6139
Se 0.0000 0.0000 0.0000
Tl 3.2569 0.0000 0.0000
Tl 4.8831 0.0000 3.9302
Se 9.9630 2.7781 5.0801
```


Record 18
Material: Np2Si
Method: DFT, PBE
State: relaxed

Computed properties:
The value obtained for the total energy is -10.03 eV per atom.

extended XYZ file:
```
3
Lattice="-2.3423 0.1472 4.1483 -4.6178 -1.1676 0.1721 -1.3569 -4.0497 2.1156" Properties=species:S:1:pos:R:3 pbc="T T T"
Si 0.0000 0.0000 0.0000
Np -6.2377 -3.8025 4.8270
Np -2.0792 -1.2675 1.6090
```


Record 19
Material: NpSi2
Method: DFT, PBE
State: relaxed

Computed properties:
The value obtained for the total energy is -7.50 eV per atom.

extended XYZ file:
```
3
Lattice="1.8046 2.2115 3.4130 -2.6045 1.6525 3.2064 0.0408 -1.8218 4.0589" Properties=species:S:1:pos:R:3 pbc="T T T"
Si -0.1898 0.5105 2.6696
Np 0.0000 0.0000 0.0000
Si -0.5694 1.5316 8.0087
```


Record 20
Material: SmNpSi
Method: DFT, PBE
State: relaxed

Computed properties:
The energy relative to the lowest polymorph listed for this composition is 0 meV/atom. The value obtained for the total energy is -7.58 eV per atom.

extended XYZ file:
```
3
Lattice="-3.3988 -3.5120 -0.3735 -0.9999 -2.8623 3.8513 -4.2735 0.4649 2.3550" Properties=species:S:1:pos:R:3 pbc="T T T"
Sm -6.5042 -4.4321 4.3746
Np -2.1681 -1.4774 1.4582
Si 0.0000 0.0000 0.0000
```


Record 21
Material: NpSiTc
Method: DFT, PBE
State: relaxed

Computed properties:
The value obtained for the total energy is -9.24 eV per atom.

extended XYZ file:
```
3
Lattice="-0.1493 -1.8469 3.9006 -1.9378 2.0343 3.2795 -3.7505 -1.4809 1.5457" Properties=species:S:1:pos:R:3 pbc="T T T"
Np -1.4594 -0.3234 2.1814
Tc -4.3782 -0.9701 6.5443
Si 0.0000 0.0000 0.0000
```


Record 22
Material: ThNpSi
Method: DFT, PBE
State: relaxed

Computed properties:
The energy relative to the lowest polymorph listed for this composition is 0 meV/atom. The value obtained for the total energy is -8.45 eV per atom.

extended XYZ file:
```
3
Lattice="0.0000 3.4295 3.4295 3.4295 0.0000 3.4295 3.4295 3.4295 0.0000" Properties=species:S:1:pos:R:3 pbc="T T T"
Si 0.0000 0.0000 0.0000
Th 5.1442 5.1442 5.1442
Np 1.7147 1.7147 1.7147
```


Record 23
Material: NpTlSi
Method: DFT, PBE
State: relaxed

Computed properties:
The energy relative to the lowest polymorph listed for this composition is 0 meV/atom. The value obtained for the total energy is -6.51 eV per atom.

extended XYZ file:
```
3
Lattice="-2.1494 -3.9377 -1.5439 -4.4484 -0.9568 1.3436 -3.5442 0.3072 -3.1390" Properties=species:S:1:pos:R:3 pbc="T T T"
Tl -7.6065 -3.4405 -2.5045
Si 0.0000 0.0000 0.0000
Np -2.5355 -1.1468 -0.8348
```


Record 24
Material: NpSiW
Method: DFT, PBE
State: relaxed

Computed properties:
The value obtained for the total energy is -9.91 eV per atom.

extended XYZ file:
```
3
Lattice="-2.4804 -3.2902 -1.3689 -4.1284 0.7200 -1.1357 -1.1775 -0.2413 -4.1722" Properties=species:S:1:pos:R:3 pbc="T T T"
Si 0.0000 0.0000 0.0000
W -5.8398 -2.1086 -5.0076
Np -1.9466 -0.7029 -1.6692
```


Record 25
Material: YNpSi
Method: DFT, PBE
State: relaxed

Computed properties:
The energy relative to the lowest polymorph listed for this composition is 0 meV/atom. The value obtained for the total energy is -8.19 eV per atom.

extended XYZ file:
```
3
Lattice="0.0000 3.4208 3.4208 3.4208 0.0000 3.4208 3.4208 3.4208 0.0000" Properties=species:S:1:pos:R:3 pbc="T T T"
Np 1.7104 1.7104 1.7104
Si 0.0000 0.0000 0.0000
Y 5.1312 5.1312 5.1312
```


Record 26
Material: SmNp
Method: DFT, PBE
State: relaxed

Computed properties:
For the formation energy, the calculation gives 1.2120 eV per atom. The energy relative to the lowest polymorph listed for this composition is 708 meV/atom. The value obtained for the total energy is -7.53 eV per atom.

extended XYZ file:
```
2
Lattice="0.0000 3.1729 3.1729 3.1729 0.0000 3.1729 3.1729 3.1729 0.0000" Properties=species:S:1:pos:R:3 pbc="T T T"
Np 0.0000 0.0000 0.0000
Sm 3.1729 3.1729 3.1729
```


Record 27
Material: SmNp2
Method: DFT, PBE
State: relaxed

Computed properties:
For the formation energy, the calculation gives 3.1449 eV per atom. The value obtained for the total energy is -6.94 eV per atom.

extended XYZ file:
```
6
Lattice="4.2664 2.4632 6.9591 -4.2664 2.4632 6.9591 0.0000 -4.9264 6.9591" Properties=species:S:1:pos:R:3 pbc="T T T"
Np 2.1328 -1.2314 9.5692
Sm 0.0000 0.0000 10.4379
Np 0.0000 2.4628 9.5692
Np -2.1328 -1.2314 9.5692
Sm 0.0000 0.0000 15.6583
Np 0.0000 0.0000 13.0478
```